1.
{"formula": "Li5As4Au4", "functional": "GGA-PBE", "state": "optimized geometry", "lattice": [[-5.462, 5.462, 2.009], [5.462, -5.462, 2.009], [5.462, 5.462, -2.009]], "species": ["Li", "Li", "Li", "Li", "Li", "As", "As", "As", "As", "Au", "Au", "Au", "Au"], "frac_coords": [[0.000, 0.000, 0.000], [0.277, 0.358, 0.635], [0.358, 0.723, 0.081], [0.642, 0.277, 0.919], [0.723, 0.642, 0.365], [0.046, 0.233, 0.279], [0.233, 0.954, 0.188], [0.767, 0.046, 0.812], [0.954, 0.767, 0.721], [0.126, 0.599, 0.724], [0.401, 0.126, 0.527], [0.599, 0.874, 0.473], [0.874, 0.401, 0.276]], "magmom_total_mub_per_fu": 0.0, "vol_a3_per_cell": 239.7, "dos_at_fermi_per_ev_cell": 7.17, "energy_ev_per_cell": -46.0}

---

2.
{"formula": "Sm4ErAg2", "functional": "GGA-PBE", "state": "optimized geometry", "lattice": [[2.740, 1.582, 8.487], [-2.740, 1.582, 8.487], [0.000, -3.164, 8.487]], "species": ["Sm", "Sm", "Sm", "Sm", "Er", "Ag", "Ag"], "frac_coords": [[0.127, 0.127, 0.127], [0.271, 0.271, 0.271], [0.729, 0.729, 0.729], [0.873, 0.873, 0.873], [0.500, 0.500, 0.500], [0.389, 0.389, 0.389], [0.611, 0.611, 0.611]], "magmom_total_mub_per_fu": 0.0, "vol_a3_per_cell": 220.7, "dos_at_fermi_per_ev_cell": 9.61, "energy_ev_per_cell": -28.4}

---

3.
{"formula": "CuSb3W", "functional": "GGA-PBE", "state": "optimized geometry", "lattice": [[5.230, 0.000, 0.000], [0.000, 5.230, 0.000], [0.000, 0.000, 5.230]], "species": ["Cu", "Sb", "Sb", "Sb", "W"], "frac_coords": [[0.000, 0.000, 0.000], [0.000, 0.500, 0.500], [0.500, 0.000, 0.500], [0.500, 0.500, 0.000], [0.500, 0.500, 0.500]], "magmom_total_mub_per_fu": 0.0, "vol_a3_per_cell": 143.1, "formation_energy_uncorrected_ev_per_fu": 4.5, "polymorph_energy_ev_per_fu": 0.00, "dos_at_fermi_per_ev_cell": 4.47}

---

4.
{"formula": "HoTlPd", "functional": "GGA-PBE", "state": "optimized geometry", "lattice": [[3.597, 0.000, 0.000], [0.000, 3.597, 0.000], [0.000, 0.000, 23.346]], "species": ["Ho", "Ho", "Ho", "Ho", "Tl", "Tl", "Tl", "Tl", "Pd", "Pd", "Pd", "Pd"], "frac_coords": [[0.000, 0.000, 0.159], [0.000, 0.000, 0.841], [0.500, 0.500, 0.341], [0.500, 0.500, 0.659], [0.000, 0.000, 0.434], [0.000, 0.000, 0.566], [0.500, 0.500, 0.066], [0.500, 0.500, 0.934], [0.000, 0.000, 0.284], [0.000, 0.000, 0.716], [0.500, 0.500, 0.216], [0.500, 0.500, 0.784]], "magmom_total_mub_per_fu": 0.0, "vol_a3_per_cell": 302.0, "polymorph_energy_ev_per_fu": 0.52, "dos_at_fermi_per_ev_cell": 5.12}

---

5.
{"formula": "NiSb2P", "functional": "GGA-PBE", "state": "optimized geometry", "lattice": [[4.488, 0.000, 0.000], [-2.244, 3.887, 0.000], [0.000, 0.000, 4.697]], "species": ["Ni", "Sb", "Sb", "P"], "frac_coords": [[0.000, 0.000, 0.000], [0.333, 0.667, 0.216], [0.667, 0.333, 0.784], [0.000, 0.000, 0.500]], "magmom_total_mub_per_fu": 0.0, "vol_a3_per_cell": 81.9, "formation_energy_uncorrected_ev_per_fu": 0.3, "dos_at_fermi_per_ev_cell": 2.54}

---

6.
{"formula": "PmHo2Ge", "functional": "GGA-PBE", "state": "optimized geometry", "lattice": [[3.687, 0.000, 0.000], [-1.844, 3.193, 0.000], [0.000, 0.000, 29.791]], "species": ["Pm", "Pm", "Pm", "Ho", "Ho", "Ho", "Ho", "Ho", "Ho", "Ge", "Ge", "Ge"], "frac_coords": [[0.000, 0.000, 0.000], [0.333, 0.667, 0.667], [0.667, 0.333, 0.333], [0.000, 0.000, 0.232], [0.000, 0.000, 0.768], [0.333, 0.667, 0.434], [0.333, 0.667, 0.899], [0.667, 0.333, 0.101], [0.667, 0.333, 0.566], [0.000, 0.000, 0.500], [0.333, 0.667, 0.167], [0.667, 0.333, 0.833]], "magmom_total_mub_per_fu": 0.0, "vol_a3_per_cell": 350.8, "polymorph_energy_ev_per_fu": 0.84, "dos_at_fermi_per_ev_cell": 14.58}

---

7.
{"formula": "YSiSe2", "functional": "GGA-PBE", "state": "optimized geometry", "lattice": [[3.602, 0.000, 0.000], [0.000, 3.602, 0.000], [0.000, 0.000, 6.643]], "species": ["Y", "Si", "Se", "Se"], "frac_coords": [[0.000, 0.000, 0.000], [0.000, 0.000, 0.500], [0.500, 0.500, 0.244], [0.500, 0.500, 0.756]], "magmom_total_mub_per_fu": 0.0, "vol_a3_per_cell": 86.2, "formation_energy_uncorrected_ev_per_fu": -2.4, "polymorph_energy_ev_per_fu": 1.40, "dos_at_fermi_per_ev_cell": 2.20}

---

8.
{"formula": "CuMo4P", "functional": "GGA-PBE", "state": "optimized geometry", "lattice": [[0.000, 3.661, 3.661], [3.661, 0.000, 3.661], [3.661, 3.661, 0.000]], "species": ["Cu", "Mo", "Mo", "Mo", "Mo", "P"], "frac_coords": [[0.000, 0.000, 0.000], [0.121, 0.626, 0.626], [0.626, 0.121, 0.626], [0.626, 0.626, 0.121], [0.626, 0.626, 0.626], [0.250, 0.250, 0.250]], "magmom_total_mub_per_fu": 0.0, "vol_a3_per_cell": 98.1, "dos_at_fermi_per_ev_cell": 6.43, "energy_ev_per_cell": -48.3}